The following is a PBE calculation of a relaxed FeTeC crystal, from Alexandria.

Formation energy without anion corrections: 0.515 eV per atom
Distance to the lowest polymorph of the same formula: 260.7 meV/atom
Uncorrected energy: -6.428 eV/atom
Space-group type: P-6m2, No. 187

abc: 3.162 3.162 5.250
angles: 90.00 90.00 120.00
Atoms (fractional coordinates):
1 Fe 0.000 0.000 0.000
2 Te 0.000 0.000 0.500
3 C 0.667 0.333 0.000

The following is a PBE calculation of a relaxed FeTe2C crystal, from Alexandria.

Formation energy without anion corrections: 1.156 eV per atom
Uncorrected energy: -4.837 eV/atom
Space-group type: R-3m, No. 166

abc: 6.940 6.940 6.940
angles: 32.15 32.15 32.15
Atoms (fractional coordinates):
1 Fe 0.000 0.000 0.000
2 Te 0.400 0.400 0.400
3 Te 0.600 0.600 0.600
4 C 0.500 0.500 0.500

The following is a PBE calculation of a relaxed FeTeC crystal, from Alexandria.

Formation energy without anion corrections: 0.496 eV per atom
Distance to the lowest polymorph of the same formula: 241.6 meV/atom
Uncorrected energy: -6.447 eV/atom
Space-group type: P1, No. 1

abc: 3.799 4.811 6.317
angles: 106.05 107.43 90.02
Atoms (fractional coordinates):
1 Fe 0.000 0.000 0.000
2 Fe 0.337 0.500 0.000
3 Te 0.013 0.704 0.300
4 Te 0.715 0.296 0.700
5 C 0.487 0.855 0.986
6 C 0.501 0.145 0.014

The following is a PBE calculation of a relaxed FeTeC crystal, from Alexandria.

Formation energy without anion corrections: 0.366 eV per atom
Distance to the lowest polymorph of the same formula: 111.6 meV/atom
Uncorrected energy: -6.577 eV/atom
Space-group type: P1, No. 1

abc: 3.599 3.627 8.459
angles: 94.04 99.33 105.12
Atoms (fractional coordinates):
1 Fe 0.000 0.000 0.000
2 Fe 0.324 0.587 0.872
3 Te 0.178 0.530 0.579
4 Te 0.585 0.975 0.226
5 C 0.492 0.124 0.915
6 C 0.822 0.453 0.916

The following is a PBE calculation of a relaxed FeTeC crystal, from Alexandria.

Formation energy without anion corrections: 0.361 eV per atom
Distance to the lowest polymorph of the same formula: 106.8 meV/atom
Uncorrected energy: -6.582 eV/atom
Space-group type: P1, No. 1

abc: 3.204 3.572 9.383
angles: 81.63 82.12 78.74
Atoms (fractional coordinates):
1 Fe 0.000 0.000 0.000
2 Fe 0.355 0.246 0.181
3 Te 0.159 0.556 0.797
4 Te 0.785 0.155 0.402
5 C 0.499 0.790 0.094
6 C 0.850 0.472 0.095

The following is a PBE calculation of a relaxed FeTeC crystal, from Alexandria.

Formation energy without anion corrections: 0.344 eV per atom
Distance to the lowest polymorph of the same formula: 89.3 meV/atom
Uncorrected energy: -6.599 eV/atom
Space-group type: P1, No. 1

abc: 2.938 4.129 10.032
angles: 83.79 89.64 69.17
Atoms (fractional coordinates):
1 Fe 0.000 0.000 0.000
2 Fe 0.402 0.205 0.811
3 Te 0.297 0.398 0.165
4 Te 0.354 0.314 0.566
5 C 0.614 0.775 0.918
6 C 0.786 0.433 0.879